<A>
## HgPOsO2 (GGA-PBE)

Data for a relaxed structure of HgPOsO2.

a = 3.792 Å, b = 3.792 Å, c = 5.339 Å
α = 90.00°, β = 90.00°, γ = 90.00°
Positions (direct):
Hg1 0.000 0.000 0.000
P1 0.500 0.500 0.000
Os1 0.500 0.500 0.500
O1 0.000 0.500 0.500
O2 0.500 0.000 0.500

Summary:
The space-group type is P4/mmm, No. 123.

***

<B>
## HgPOsO2 (GGA-PBE)

Data for a relaxed structure of HgPOsO2.

a = 3.976 Å, b = 3.976 Å, c = 5.422 Å
α = 90.00°, β = 90.00°, γ = 90.00°
Positions (direct):
Hg1 0.000 0.000 0.000
P1 0.000 0.000 0.500
Os1 0.500 0.500 0.500
O1 0.000 0.500 0.000
O2 0.500 0.000 0.000

Summary:
The space-group type is P4/mmm, No. 123.

***

Stability summary - winner: <A>; margin: 177.4 kJ/mol of atoms.

***

<A>
## Hg3PO6 (GGA-PBE)

Data for a relaxed structure of Hg3PO6.

a = 5.555 Å, b = 5.555 Å, c = 5.762 Å
α = 120.88°, β = 120.88°, γ = 67.38°
Positions (direct):
Hg1 0.000 0.000 0.000
Hg2 0.273 0.273 0.750
Hg3 0.727 0.727 0.250
P1 0.500 0.500 0.500
O1 0.234 0.619 0.607
O2 0.268 0.268 0.119
O3 0.381 0.766 0.393
O4 0.619 0.234 0.607
O5 0.732 0.732 0.881
O6 0.766 0.381 0.393

Summary:
The space-group type is C2/m, No. 12.

***

<B>
## Hg3PO6 (GGA-PBE)

Data for a relaxed structure of Hg3PO6.

a = 5.351 Å, b = 5.337 Å, c = 10.107 Å
α = 90.00°, β = 117.96°, γ = 90.00°
Positions (direct):
Hg1 0.000 0.000 0.000
Hg2 0.000 0.500 0.500
Hg3 0.260 0.050 0.745
Hg4 0.260 0.450 0.245
Hg5 0.740 0.550 0.755
Hg6 0.740 0.950 0.255
P1 0.500 0.000 0.500
P2 0.500 0.500 0.000
O1 0.206 0.070 0.333
O2 0.206 0.430 0.833
O3 0.299 0.687 0.064
O4 0.299 0.813 0.564
O5 0.439 0.248 0.083
O6 0.439 0.252 0.583
O7 0.561 0.748 0.417
O8 0.561 0.752 0.917
O9 0.701 0.187 0.436
O10 0.701 0.313 0.936
O11 0.794 0.570 0.167
O12 0.794 0.930 0.667

Summary:
The space-group type is P2_1/c, No. 14.

***

Stability summary - winner: <B>; margin: 0.9 kJ/mol of atoms.

***

<A>
## Hg3PO4 (GGA-PBE)

Data for a relaxed structure of Hg3PO4.

a = 5.612 Å, b = 5.612 Å, c = 5.612 Å
α = 112.69°, β = 102.73°, γ = 113.19°
Positions (direct):
Hg1 0.000 0.000 0.000
Hg2 0.381 0.133 0.751
Hg3 0.381 0.630 0.249
P1 0.902 0.402 0.500
O1 0.225 0.542 0.683
O2 0.753 0.046 0.292
O3 0.753 0.461 0.708
O4 0.859 0.542 0.317

Summary:
The space-group type is Imm2, No. 44.

***

<B>
## Hg3PO4 (GGA-PBE)

Data for a relaxed structure of Hg3PO4.

a = 5.820 Å, b = 9.389 Å, c = 5.215 Å
α = 90.00°, β = 90.00°, γ = 90.00°
Positions (direct):
Hg1 0.000 0.063 0.000
Hg2 0.247 0.392 0.517
Hg3 0.253 0.608 0.017
Hg4 0.500 0.937 0.500
Hg5 0.747 0.608 0.017
Hg6 0.753 0.392 0.517
P1 0.000 0.843 0.527
P2 0.500 0.157 0.027
O1 0.000 0.002 0.436
O2 0.000 0.844 0.829
O3 0.220 0.763 0.434
O4 0.280 0.237 0.934
O5 0.500 0.156 0.329
O6 0.500 0.998 0.936
O7 0.720 0.237 0.934
O8 0.780 0.763 0.434

Summary:
The space-group type is Pmn2_1, No. 31.

***

Stability summary - winner: <B>; margin: 8.5 kJ/mol of atoms.

***

<A>
## HgPO4 (GGA-PBE)

Data for a relaxed structure of HgPO4.

a = 4.906 Å, b = 9.446 Å, c = 8.879 Å
α = 90.00°, β = 123.22°, γ = 90.00°
Positions (direct):
Hg1 0.169 0.010 0.244
Hg2 0.169 0.490 0.744
Hg3 0.831 0.510 0.256
Hg4 0.831 0.990 0.756
P1 0.491 0.697 0.451
P2 0.491 0.803 0.951
P3 0.509 0.197 0.049
P4 0.509 0.303 0.549
O1 0.190 0.654 0.458
O2 0.190 0.846 0.958
O3 0.194 0.166 0.864
O4 0.194 0.334 0.364
O5 0.448 0.623 0.285
O6 0.448 0.877 0.785
O7 0.481 0.137 0.552
O8 0.481 0.363 0.052
O9 0.519 0.637 0.948
O10 0.519 0.863 0.448
O11 0.552 0.123 0.215
O12 0.552 0.377 0.715
O13 0.806 0.666 0.636
O14 0.806 0.834 0.136
O15 0.810 0.154 0.042
O16 0.810 0.346 0.542

Summary:
The space-group type is P2_1/c, No. 14.

***

<B>
## HgPO4 (GGA-PBE)

Data for a relaxed structure of HgPO4.

a = 4.823 Å, b = 4.823 Å, c = 9.038 Å
α = 90.00°, β = 90.00°, γ = 90.00°
Positions (direct):
Hg1 0.000 0.000 0.000
Hg2 0.000 0.000 0.500
P1 0.000 0.500 0.250
P2 0.500 0.000 0.750
O1 0.190 0.316 0.348
O2 0.190 0.684 0.152
O3 0.316 0.190 0.848
O4 0.316 0.810 0.652
O5 0.684 0.190 0.652
O6 0.684 0.810 0.848
O7 0.810 0.316 0.152
O8 0.810 0.684 0.348

Summary:
The space-group type is P-42c, No. 112.

***

Stability summary - winner: <A>; margin: 4.4 kJ/mol of atoms.

***

<A>
## HgPPbO2 (GGA-PBE)

Data for a relaxed structure of HgPPbO2.

a = 4.159 Å, b = 4.159 Å, c = 5.779 Å
α = 90.00°, β = 90.00°, γ = 90.00°
Positions (direct):
Hg1 0.000 0.000 0.000
P1 0.500 0.500 0.000
Pb1 0.500 0.500 0.500
O1 0.000 0.500 0.500
O2 0.500 0.000 0.500

Summary:
The space-group type is P4/mmm, No. 123.

***

<B>
## HgPPbO2 (GGA-PBE)

Data for a relaxed structure of HgPPbO2.

a = 4.273 Å, b = 4.273 Å, c = 5.072 Å
α = 90.00°, β = 90.00°, γ = 90.00°
Positions (direct):
Hg1 0.000 0.000 0.000
P1 0.000 0.000 0.500
Pb1 0.500 0.500 0.500
O1 0.000 0.500 0.000
O2 0.500 0.000 0.000

Summary:
The space-group type is P4/mmm, No. 123.

***

Stability summary - winner: <A>; margin: 18.8 kJ/mol of atoms.

***

<A>
## HgP2PbO (GGA-PBE)

Data for a relaxed structure of HgP2PbO.

a = 5.432 Å, b = 5.432 Å, c = 4.139 Å
α = 90.00°, β = 90.00°, γ = 90.00°
Positions (direct):
Hg1 0.000 0.000 0.000
P1 0.000 0.500 0.500
P2 0.500 0.000 0.500
Pb1 0.500 0.500 0.500
O1 0.500 0.500 0.000

Summary:
The space-group type is P4/mmm, No. 123.

***

<B>
## HgP2PbO (GGA-PBE)

Data for a relaxed structure of HgP2PbO.

a = 5.278 Å, b = 5.278 Å, c = 4.517 Å
α = 90.00°, β = 90.00°, γ = 90.00°
Positions (direct):
Hg1 0.000 0.000 0.000
P1 0.000 0.500 0.000
P2 0.500 0.000 0.000
Pb1 0.500 0.500 0.500
O1 0.000 0.000 0.500

Summary:
The space-group type is P4/mmm, No. 123.

***

Stability summary - winner: <A>; margin: 1.0 kJ/mol of atoms.

***

<A>
## HgP2PdO (GGA-PBE)

Data for a relaxed structure of HgP2PdO.

a = 5.020 Å, b = 5.020 Å, c = 4.001 Å
α = 90.00°, β = 90.00°, γ = 90.00°
Positions (direct):
Hg1 0.000 0.000 0.000
P1 0.000 0.500 0.000
P2 0.500 0.000 0.000
Pd1 0.500 0.500 0.500
O1 0.000 0.000 0.500

Summary:
The space-group type is P4/mmm, No. 123.

***

<B>
## HgP2PdO (GGA-PBE)

Data for a relaxed structure of HgP2PdO.

a = 4.864 Å, b = 4.864 Å, c = 3.853 Å
α = 90.00°, β = 90.00°, γ = 90.00°
Positions (direct):
Hg1 0.000 0.000 0.000
P1 0.000 0.500 0.500
P2 0.500 0.000 0.500
Pd1 0.500 0.500 0.500
O1 0.500 0.500 0.000

Summary:
The space-group type is P4/mmm, No. 123.

***

Stability summary - winner: <B>; margin: 63.8 kJ/mol of atoms.

***

<A>
## HgP2PtO (GGA-PBE)

Data for a relaxed structure of HgP2PtO.

a = 4.975 Å, b = 4.975 Å, c = 3.936 Å
α = 90.00°, β = 90.00°, γ = 90.00°
Positions (direct):
Hg1 0.000 0.000 0.000
P1 0.000 0.500 0.000
P2 0.500 0.000 0.000
Pt1 0.500 0.500 0.500
O1 0.000 0.000 0.500

Summary:
The space-group type is P4/mmm, No. 123.

***

<B>
## HgP2PtO (GGA-PBE)

Data for a relaxed structure of HgP2PtO.

a = 4.915 Å, b = 4.915 Å, c = 3.817 Å
α = 90.00°, β = 90.00°, γ = 90.00°
Positions (direct):
Hg1 0.000 0.000 0.000
P1 0.000 0.500 0.500
P2 0.500 0.000 0.500
Pt1 0.500 0.500 0.500
O1 0.500 0.500 0.000

Summary:
The space-group type is P4/mmm, No. 123.

***

Stability summary - winner: <B>; margin: 83.4 kJ/mol of atoms.